1.
DFT (PBE-GGA) results for NaPmGa2Pt2 after structural relaxation.

Cell and atoms, written as extended XYZ:
```
6
Lattice="4.454 0.000 0.000 -2.227 3.858 0.000 0.000 0.000 6.850" Properties=species:S:1:pos:R:3 pbc="T T T"
Pt 2.227 1.286 1.847
Pt 0.000 2.572 5.002
Pm 0.000 0.000 0.000
Ga 2.227 1.286 4.784
Ga 0.000 2.572 2.065
Na 0.000 0.000 3.425
```

Space group = P-3m1 (164)
Formation energy = -0.73 eV/atom

2.
DFT (PBE-GGA) results for Ce2AlPb after structural relaxation.

Cell and atoms, written as extended XYZ:
```
4
Lattice="-2.919 2.592 2.448 -1.566 -3.900 2.262 3.344 0.601 3.352" Properties=species:S:1:pos:R:3 pbc="T T T"
Ce -0.783 -1.950 1.131
Ce 1.672 0.300 1.676
Al -1.460 1.296 1.224
Pb -0.571 -0.353 4.031
```

Space group = P4/mmm (123)
Formation energy = -0.31 eV/atom

3.
DFT (PBE-GGA) results for AcSbRh2 after structural relaxation.

Cell and atoms, written as extended XYZ:
```
16
Lattice="-3.869 2.009 0.400 -0.535 -2.454 7.150 5.162 9.236 3.556" Properties=species:S:1:pos:R:3 pbc="T T T"
Ac -0.726 -0.347 6.703
Ac 1.484 9.137 4.403
Ac 0.034 5.796 7.164
Ac 0.724 2.994 3.942
Rh -1.601 2.883 5.973
Rh -0.787 0.390 2.412
Rh 1.545 8.401 8.694
Rh -0.096 6.213 3.804
Rh 2.360 5.908 5.133
Rh 2.792 5.933 9.190
Rh 0.854 2.577 7.302
Rh -2.034 2.857 1.916
Sb -2.565 1.402 4.088
Sb 2.190 6.110 2.478
Sb -1.432 2.681 8.628
Sb 3.323 7.389 7.017
```

Space group = Pnma (62)
Uncorrected formation energy = -694 meV/atom

V, record by record: 117.7; 105.0; 370.3 Å³/cell
Spin magnetization, record by record: 0.0; 1.4; 0.0 μB per cell